A plane-wave DFT calculation with PBE was carried out for crystalline NaTaZn at its relaxed geometry.

CIF file:
```
data_NaTaZn
_chemical_formula_sum 'Na4 Ta4 Zn4'
_cell_length_a 10.6578
_cell_length_b 2.8666
_cell_length_c 8.4775
_cell_angle_alpha 90.00
_cell_angle_beta 109.63
_cell_angle_gamma 90.00
_space_group_name_H-M_alt 'C 1 m 1'
_space_group_IT_number 8
_space_group_name_Hall 'C -2y'
loop_
_atom_site_label
_atom_site_fract_x
_atom_site_fract_y
_atom_site_fract_z
_atom_site_occupancy
Na1 0.0000 0.0000 0.0000 1
Na2 0.2101 0.5000 0.8663 1
Ta1 0.2135 0.5000 0.3402 1
Ta2 0.3716 0.0000 0.6011 1
Zn1 0.0820 0.0000 0.5376 1
Zn2 0.4240 0.0000 0.2749 1
```

## Properties
relative energy among the computed polymorphs	0.258	eV/atom
energy of formation	0.395	eV per atom
total magnetic moment	0.00	μB/f.u.
uncorrected energy	-4.420	eV/atom

***

A plane-wave DFT calculation with PBE was carried out for crystalline CoIrRu2 at its relaxed geometry.

CIF file:
```
data_CoIrRu2
_chemical_formula_sum 'Co2 Ir2 Ru4'
_cell_length_a 8.8082
_cell_length_b 2.6740
_cell_length_c 4.6066
_cell_angle_alpha 90.00
_cell_angle_beta 100.14
_cell_angle_gamma 90.00
_space_group_name_H-M_alt 'C 1 m 1'
_space_group_IT_number 8
_space_group_name_Hall 'C -2y'
loop_
_atom_site_label
_atom_site_fract_x
_atom_site_fract_y
_atom_site_fract_z
_atom_site_occupancy
Co1 0.0000 0.0000 0.0000 1
Ir1 0.2490 0.5000 0.2442 1
Ru1 0.9998 0.5000 0.5046 1
Ru2 0.2513 0.0000 0.7539 1
```

## Properties
energy of formation	0.079	eV per atom
total magnetic moment	0.68	μB/f.u.
uncorrected energy	-8.551	eV/atom